(1)
SrMg3Cd9: optimized geometry, PBE-GGA.

Values from the calculation:
ΔH_f (0 K)	-0.158	eV/atom

Cell: 7.756 7.756 7.699 Å, 98.63 98.63 134.27°
Sites, in units of the cell vectors:
Sr  0.000  0.000  0.000
Mg  0.000  0.000  0.500
Mg  0.000  0.500  0.000
Mg  0.500  0.000  0.000
Cd  0.007  0.655  0.652
Cd  0.278  0.496  0.784
Cd  0.345  0.993  0.348
Cd  0.496  0.278  0.784
Cd  0.500  0.500  0.500
Cd  0.504  0.722  0.216
Cd  0.655  0.007  0.652
Cd  0.722  0.504  0.216
Cd  0.993  0.345  0.348



(2)
TePbW2: optimized geometry, PBE-GGA.

Values from the calculation:
raw formation energy	1.015	eV per atom
offset from the most stable computed form	2.330	eV/f.u.

Cell: 3.356 3.356 6.856 Å, 90.00 90.00 90.00°
Sites, in units of the cell vectors:
Te  0.000  0.000  0.000
Pb  0.000  0.000  0.500
W  0.500  0.500  0.227
W  0.500  0.500  0.773



| no. | E (eV/atom) | DOS at the Fermi energy (states/eV/cell) |
| --- | --- | --- |
| 1 | -1.289 | 5.89 |
| 2 | -7.174 | 3.39 |